The following is a DFT calculation (PBE) of crystalline ScInPd4 at its relaxed geometry.

Geometry as CIF:
```
data_ScInPd4
_chemical_formula_sum 'Sc2 In2 Pd8'
_cell_length_a 4.809
_cell_length_b 8.898
_cell_length_c 4.846
_cell_angle_alpha 90.00
_cell_angle_beta 102.14
_cell_angle_gamma 90.00
_space_group_name_H-M_alt 'C 1 2/m 1'
_space_group_IT_number 12
_space_group_name_Hall '-C 2y'
loop_
_atom_site_label
_atom_site_type_symbol
_atom_site_fract_x
_atom_site_fract_y
_atom_site_fract_z
Sc1 Sc 0.000 0.000 0.000
In1 In 0.000 0.500 0.500
Pd1 Pd 0.000 0.163 0.500
Pd2 Pd 0.000 0.337 0.000
```

Output
**ΔH_f (0 K)**: -0.653 eV per atom

---

The following is a DFT calculation (PBE) of crystalline ScIn2Pd8 at its relaxed geometry.

Geometry as CIF:
```
data_ScIn2Pd8
_chemical_formula_sum 'Sc2 In4 Pd16'
_cell_length_a 14.355
_cell_length_b 4.143
_cell_length_c 6.440
_cell_angle_alpha 90.00
_cell_angle_beta 107.63
_cell_angle_gamma 90.00
_space_group_name_H-M_alt 'C 1 2/m 1'
_space_group_IT_number 12
_space_group_name_Hall '-C 2y'
loop_
_atom_site_label
_atom_site_type_symbol
_atom_site_fract_x
_atom_site_fract_y
_atom_site_fract_z
Sc1 Sc 0.000 0.000 0.000
In1 In 0.220 0.500 0.656
Pd1 Pd 0.039 0.500 0.726
Pd2 Pd 0.093 0.000 0.454
Pd3 Pd 0.139 0.500 0.185
Pd4 Pd 0.177 0.000 0.913
```

Output
**ΔH_f (0 K)**: -0.550 eV per atom

---

The following is a DFT calculation (PBE) of crystalline ScIn4Pd15 at its relaxed geometry.

Geometry as CIF:
```
data_ScIn4Pd15
_chemical_formula_sum 'Sc1 In4 Pd15'
_cell_length_a 4.031
_cell_length_b 4.031
_cell_length_c 20.186
_cell_angle_alpha 90.00
_cell_angle_beta 90.00
_cell_angle_gamma 90.00
_space_group_name_H-M_alt 'P 4/m m m'
_space_group_IT_number 123
_space_group_name_Hall '-P 4 2'
loop_
_atom_site_label
_atom_site_type_symbol
_atom_site_fract_x
_atom_site_fract_y
_atom_site_fract_z
Sc1 Sc 0.000 0.000 0.000
In1 In 0.000 0.000 0.200
In2 In 0.000 0.000 0.400
Pd1 Pd 0.000 0.500 0.098
Pd2 Pd 0.000 0.500 0.299
Pd3 Pd 0.000 0.500 0.500
Pd4 Pd 0.500 0.500 0.000
Pd5 Pd 0.500 0.500 0.198
Pd6 Pd 0.500 0.500 0.400
```

Output
**ΔH_f (0 K)**: -0.515 eV per atom

---

The following is a DFT calculation (PBE) of crystalline ScIn3Pd4 at its relaxed geometry.

Geometry as CIF:
```
data_ScIn3Pd4
_chemical_formula_sum 'Sc4 In12 Pd16'
_cell_length_a 6.507
_cell_length_b 6.512
_cell_length_c 13.508
_cell_angle_alpha 90.00
_cell_angle_beta 90.00
_cell_angle_gamma 90.00
_space_group_name_H-M_alt 'F m m m'
_space_group_IT_number 69
_space_group_name_Hall '-F 2 2'
loop_
_atom_site_label
_atom_site_type_symbol
_atom_site_fract_x
_atom_site_fract_y
_atom_site_fract_z
Sc1 Sc 0.000 0.000 0.000
In1 In 0.000 0.000 0.249
In2 In 0.000 0.000 0.500
Pd1 Pd 0.250 0.250 0.124
```

Output
**ΔH_f (0 K)**: -0.665 eV per atom

---

The following is a DFT calculation (PBE) of crystalline ScIn2Pd5 at its relaxed geometry.

Geometry as CIF:
```
data_ScIn2Pd5
_chemical_formula_sum 'Sc2 In4 Pd10'
_cell_length_a 4.219
_cell_length_b 4.219
_cell_length_c 15.303
_cell_angle_alpha 90.00
_cell_angle_beta 90.00
_cell_angle_gamma 90.00
_space_group_name_H-M_alt 'I 4/m m m'
_space_group_IT_number 139
_space_group_name_Hall '-I 4 2'
loop_
_atom_site_label
_atom_site_type_symbol
_atom_site_fract_x
_atom_site_fract_y
_atom_site_fract_z
Sc1 Sc 0.000 0.000 0.000
In1 In 0.000 0.000 0.255
Pd1 Pd 0.000 0.000 0.500
Pd2 Pd 0.000 0.500 0.125
```

Output
**ΔH_f (0 K)**: -0.645 eV per atom

---

The following is a DFT calculation (PBE) of crystalline Sc3InPd6 at its relaxed geometry.

Geometry as CIF:
```
data_Sc3InPd6
_chemical_formula_sum 'Sc6 In2 Pd12'
_cell_length_a 7.750
_cell_length_b 4.779
_cell_length_c 10.105
_cell_angle_alpha 90.00
_cell_angle_beta 112.27
_cell_angle_gamma 90.00
_space_group_name_H-M_alt 'P 1 21/m 1'
_space_group_IT_number 11
_space_group_name_Hall '-P 2yb'
loop_
_atom_site_label
_atom_site_type_symbol
_atom_site_fract_x
_atom_site_fract_y
_atom_site_fract_z
Sc1 Sc 0.063 0.250 0.208
Sc2 Sc 0.306 0.250 0.013
Sc3 Sc 0.351 0.750 0.378
In1 In 0.138 0.750 0.583
Pd1 Pd 0.078 0.250 0.717
Pd2 Pd 0.117 0.750 0.080
Pd3 Pd 0.270 0.250 0.512
Pd4 Pd 0.308 0.750 0.873
Pd5 Pd 0.473 0.250 0.319
Pd6 Pd 0.485 0.250 0.825
```

Output
**ΔH_f (0 K)**: -0.813 eV per atom

---

The following is a DFT calculation (PBE) of crystalline Sc2In5Pd12 at its relaxed geometry.

Geometry as CIF:
```
data_Sc2In5Pd12
_chemical_formula_sum 'Sc4 In10 Pd24'
_cell_length_a 13.391
_cell_length_b 8.226
_cell_length_c 6.132
_cell_angle_alpha 90.00
_cell_angle_beta 95.06
_cell_angle_gamma 90.00
_space_group_name_H-M_alt 'C 1 2/m 1'
_space_group_IT_number 12
_space_group_name_Hall '-C 2y'
loop_
_atom_site_label
_atom_site_type_symbol
_atom_site_fract_x
_atom_site_fract_y
_atom_site_fract_z
Sc1 Sc 0.000 0.223 0.000
In1 In 0.000 0.000 0.500
In2 In 0.165 0.500 0.925
In3 In 0.247 0.000 0.529
Pd1 Pd 0.042 0.500 0.259
Pd2 Pd 0.101 0.278 0.600
Pd3 Pd 0.134 0.000 0.885
Pd4 Pd 0.196 0.234 0.201
```

Output
**ΔH_f (0 K)**: -0.551 eV per atom

---

The following is a DFT calculation (PBE) of crystalline ScInPd2 at its relaxed geometry.

Geometry as CIF:
```
data_ScInPd2
_chemical_formula_sum 'Sc4 In4 Pd8'
_cell_length_a 7.318
_cell_length_b 7.318
_cell_length_c 5.905
_cell_angle_alpha 90.00
_cell_angle_beta 90.00
_cell_angle_gamma 90.00
_space_group_name_H-M_alt 'I -4 2 d'
_space_group_IT_number 122
_space_group_name_Hall 'I -4 2bw'
loop_
_atom_site_label
_atom_site_type_symbol
_atom_site_fract_x
_atom_site_fract_y
_atom_site_fract_z
Sc1 Sc 0.000 0.000 0.000
In1 In 0.000 0.000 0.500
Pd1 Pd 0.240 0.250 0.125
```

Output
**ΔH_f (0 K)**: -0.401 eV per atom